La2BF, relaxed, DFT PBE; space-group type = Fm-3m; electronic total energy = -22.37 eV for the cell shown; crystal system = cubic; N(E_F) = 4.3 states/eV/f.u.; spin magnetization = 0.0 μB/f.u.; formation energy (no corrections) = -4.0 eV/f.u.; ρ = 6.7 g cm⁻³
1.0
0.0000 3.3622 3.3622
3.3622 0.0000 3.3622
3.3622 3.3622 0.0000
F La B
1 2 1
Direct
0.5000 0.5000 0.5000
0.7500 0.7500 0.7500
0.2500 0.2500 0.2500
0.0000 0.0000 0.0000